(1)
First-principles (PBE) data for crystalline VPICl2 at its relaxed geometry, as listed in Alexandria via LeMat-Bulk.

Results
uncorrected energy	-20.555	eV/cell
raw formation energy	-0.16	eV per atom

Lattice parameters (Å, degrees): 4.528 4.528 5.292 90.00 90.00 90.00
Fractional positions:
Cl 0.000 0.500 0.000
P 0.000 0.000 0.500
Cl 0.500 0.000 0.000
I 0.500 0.500 0.500
V 0.000 0.000 0.000


(2)
First-principles (PBE) data for crystalline TcRuRh2 at its relaxed geometry, as listed in Alexandria via LeMat-Bulk.

Results
uncorrected energy	-34.241	eV/cell
formation enthalpy at 0 K	10	kJ/mol of formula units

Lattice parameters (Å, degrees): 8.978 8.978 8.978 17.45 17.45 17.45
Fractional positions:
Ru 0.250 0.250 0.250
Tc 0.750 0.750 0.750
Rh 0.000 0.000 0.000
Rh 0.500 0.500 0.500


(3)
First-principles (PBE) data for crystalline TiGeSe at its relaxed geometry, as listed in Alexandria via LeMat-Bulk.

Results
uncorrected energy	-34.818	eV/cell
raw formation energy	-0.47	eV per atom

Lattice parameters (Å, degrees): 4.881 4.912 4.912 120.69 90.00 90.00
Fractional positions:
Ti 0.000 0.000 0.000
Ge 0.000 0.345 0.655
Se 0.500 0.160 0.840
Ge 0.000 0.655 0.345
Ti 0.500 0.500 0.500
Se 0.500 0.840 0.160


(4)
First-principles (PBE) data for crystalline NaTiPb2O4 at its relaxed geometry, as listed in Alexandria via LeMat-Bulk.

Results
uncorrected energy	-50.338	eV/cell
raw formation energy	-1.73	eV per atom

Lattice parameters (Å, degrees): 5.083 5.083 6.701 110.18 110.18 95.20
Fractional positions:
Na 0.012 0.012 0.024
Pb 0.766 0.266 0.532
O 0.618 0.618 0.793
Ti 0.495 0.495 0.990
Pb 0.266 0.766 0.532
O 0.387 0.782 0.169
O 0.175 0.175 0.793
O 0.782 0.387 0.169


(5)
First-principles (PBE) data for crystalline K2RbPuBr6 at its relaxed geometry, as listed in Alexandria via LeMat-Bulk.

Results
uncorrected energy	-88.555	eV/cell
raw formation energy	-1.67	eV per atom

Lattice parameters (Å, degrees): 7.980 8.612 11.645 90.00 90.11 90.00
Site moments in Bohr magnetons follow the coordinates.
Fractional positions:
Br 0.713 0.323 0.929  -0.02
Br 0.644 0.068 0.277  -0.02
Br 0.287 0.677 0.071  -0.02
K 0.467 0.419 0.249  0.00
Br 0.787 0.823 0.571  -0.02
Br 0.213 0.177 0.429  -0.02
Pu 0.500 0.000 0.500  5.06
Br 0.341 0.718 0.419  -0.02
Rb 0.000 0.500 0.500  0.00
Br 0.659 0.282 0.581  -0.02
Pu 0.000 0.500 0.000  5.06
K 0.033 0.919 0.251  0.00
Br 0.856 0.568 0.223  -0.02
K 0.533 0.581 0.751  0.00
Rb 0.500 0.000 0.000  0.00
Br 0.356 0.932 0.723  -0.02
K 0.967 0.081 0.749  0.00
Br 0.841 0.782 0.919  -0.02
Br 0.159 0.218 0.081  -0.02
Br 0.144 0.432 0.777  -0.02


(6)
First-principles (PBE) data for crystalline AcHf4Se8 at its relaxed geometry, as listed in Alexandria via LeMat-Bulk.

Results
uncorrected energy	-88.386	eV/cell
raw formation energy	-1.28	eV per atom

Lattice parameters (Å, degrees): 7.994 7.994 7.994 60.00 60.00 60.00
Fractional positions:
Se 0.604 0.604 0.604
Hf 0.359 0.922 0.359
Hf 0.359 0.359 0.359
Se 0.629 0.124 0.124
Ac 0.750 0.750 0.750
Se 0.604 0.604 0.189
Se 0.604 0.189 0.604
Se 0.124 0.124 0.629
Se 0.189 0.604 0.604
Se 0.124 0.124 0.124
Se 0.124 0.629 0.124
Hf 0.922 0.359 0.359
Hf 0.359 0.359 0.922


(7)
First-principles (PBE) data for crystalline Al4Cu15Si at its relaxed geometry, as listed in Alexandria via LeMat-Bulk.

Results
uncorrected energy	-84.966	eV/cell
raw formation energy	-0.16	eV per atom

Lattice parameters (Å, degrees): 3.661 3.661 18.505 90.00 90.00 90.00
Fractional positions:
Al 0.000 0.000 0.803
Si 0.000 0.000 0.000
Al 0.000 0.000 0.399
Cu 0.500 0.500 0.197
Cu 0.000 0.500 0.298
Cu 0.500 0.500 0.602
Cu 0.000 0.500 0.904
Cu 0.500 0.000 0.702
Cu 0.500 0.000 0.904
Cu 0.000 0.500 0.096
Cu 0.500 0.500 0.000
Cu 0.500 0.500 0.398
Cu 0.500 0.000 0.500
Cu 0.500 0.000 0.298
Cu 0.500 0.000 0.096
Cu 0.000 0.500 0.702
Cu 0.000 0.500 0.500
Al 0.000 0.000 0.197
Al 0.000 0.000 0.601
Cu 0.500 0.500 0.803


(8)
First-principles (PBE) data for crystalline LiInRe2 at its relaxed geometry, as listed in Alexandria via LeMat-Bulk.

Results
uncorrected energy	-27.393	eV/cell
formation enthalpy at 0 K	208	kJ/mol of formula units

Lattice parameters (Å, degrees): 2.721 4.519 5.246 90.00 90.00 90.00
Fractional positions:
Re 0.000 0.000 0.981
Re 0.000 0.000 0.519
Li 0.500 0.500 0.750
In 0.500 0.500 0.250


(9)
First-principles (PBE) data for crystalline AlZn3Ga3 at its relaxed geometry, as listed in Alexandria via LeMat-Bulk.

Results
uncorrected energy	-26.127	eV/cell
formation enthalpy at 0 K	346	kJ/mol of formula units

Lattice parameters (Å, degrees): 7.059 7.059 7.059 90.00 90.00 90.00
Fractional positions:
Zn 0.250 0.500 0.000
Al 0.000 0.000 0.000
Ga 0.250 0.000 0.500
Zn 0.500 0.000 0.250
Al 0.500 0.500 0.500
Ga 0.000 0.500 0.250
Zn 0.500 0.000 0.750
Zn 0.000 0.750 0.500
Ga 0.750 0.000 0.500
Zn 0.750 0.500 0.000
Ga 0.000 0.500 0.750
Ga 0.500 0.750 0.000
Ga 0.500 0.250 0.000
Zn 0.000 0.250 0.500


(10)
First-principles (PBE) data for crystalline Ac3YTh2Sb6 at its relaxed geometry, as listed in Alexandria via LeMat-Bulk.

Results
uncorrected energy	-71.660	eV/cell
raw formation energy	-1.11	eV per atom

Lattice parameters (Å, degrees): 7.996 7.996 8.056 99.52 99.52 120.05
Fractional positions:
Sb 0.747 0.747 0.232
Sb 0.253 0.253 0.768
Sb 0.924 0.593 0.770
Sb 0.076 0.407 0.230
Sb 0.593 0.924 0.770
Th 0.666 0.334 0.000
Ac 0.500 0.500 0.500
Th 0.334 0.666 0.000
Ac 0.832 0.168 0.500
Ac 0.168 0.832 0.500
Y 0.000 0.000 0.000
Sb 0.407 0.076 0.230


(11)
First-principles (PBE) data for crystalline Tb6P2S3Br at its relaxed geometry, as listed in Alexandria via LeMat-Bulk.

Results
uncorrected energy	-73.732	eV/cell
raw formation energy	-1.76	eV per atom

Lattice parameters (Å, degrees): 3.988 8.041 8.922 102.36 102.91 90.00
Fractional positions:
Tb 0.996 0.718 0.992
S 0.840 0.165 0.680
P 0.166 0.331 0.333
S 0.160 0.835 0.320
S 0.500 0.500 0.000
P 0.834 0.669 0.667
Tb 0.320 0.901 0.641
Tb 0.680 0.099 0.359
Br 0.500 0.000 0.000
Tb 0.004 0.282 0.008
Tb 0.331 0.421 0.663
Tb 0.669 0.579 0.337


(12)
First-principles (PBE) data for crystalline BaMoPb2 at its relaxed geometry, as listed in Alexandria via LeMat-Bulk.

Results
uncorrected energy	-17.374	eV/cell
formation enthalpy at 0 K	270	kJ/mol of formula units

Lattice parameters (Å, degrees): 3.676 5.909 6.988 53.79 90.00 90.00
Site moments in Bohr magnetons follow the coordinates.
Fractional positions:
Pb 0.000 0.000 0.000  -0.03
Mo 0.000 0.000 0.500  2.79
Pb 0.500 0.500 0.000  -0.04
Ba 0.500 0.500 0.500  0.01


(13)
First-principles (PBE) data for crystalline GeMoIr at its relaxed geometry, as listed in Alexandria via LeMat-Bulk.

Results
uncorrected energy	-24.502	eV/cell
formation enthalpy at 0 K	-19	kJ/mol of formula units

Lattice parameters (Å, degrees): 2.856 2.856 5.937 103.92 103.92 90.00
Fractional positions:
Mo 0.996 0.996 0.993
Ir 0.334 0.334 0.669
Ge 0.669 0.669 0.338


(14)
First-principles (PBE) data for crystalline Re3SeI at its relaxed geometry, as listed in Alexandria via LeMat-Bulk.

Results
uncorrected energy	-27.145	eV/cell
raw formation energy	3.05	eV per atom

Lattice parameters (Å, degrees): 4.850 4.850 4.850 90.00 90.00 90.00
Site moments in Bohr magnetons follow the coordinates.
Fractional positions:
Re 0.500 0.000 0.000  0.75
Se 0.500 0.500 0.500  -0.06
Re 0.000 0.500 0.000  0.54
Re 0.000 0.000 0.500  0.51
I 0.000 0.000 0.000  -0.02


(15)
First-principles (PBE) data for crystalline Ba2CuAuN at its relaxed geometry, as listed in Alexandria via LeMat-Bulk.

Results
uncorrected energy	-21.633	eV/cell
raw formation energy	-0.42	eV per atom

Lattice parameters (Å, degrees): 5.780 5.780 3.772 90.00 90.00 90.00
Fractional positions:
Au 0.500 0.500 0.500
Ba 0.000 0.500 0.000
Ba 0.500 0.000 0.000
Cu 0.000 0.000 0.500
N 0.000 0.000 0.000


(16)
First-principles (PBE) data for crystalline Cs2Tb2SbO6 at its relaxed geometry, as listed in Alexandria via LeMat-Bulk.

Results
uncorrected energy	-69.840	eV/cell
raw formation energy	-2.27	eV per atom

Lattice parameters (Å, degrees): 6.019 6.019 7.306 97.61 97.61 119.81
Site moments in Bohr magnetons follow the coordinates.
Fractional positions:
Tb 0.334 0.666 0.500  0.02
O 0.631 0.953 0.344  0.05
O 0.737 0.737 0.656  0.05
O 0.263 0.263 0.344  0.05
Cs 0.834 0.166 0.000  0.00
O 0.047 0.369 0.656  0.05
Sb 0.000 0.000 0.500  0.12
Tb 0.666 0.334 0.500  0.02
O 0.369 0.047 0.656  0.05
O 0.953 0.631 0.344  0.05
Cs 0.166 0.834 0.000  0.00


(17)
First-principles (PBE) data for crystalline CeAlGa4Cu2 at its relaxed geometry, as listed in Alexandria via LeMat-Bulk.

Results
uncorrected energy	-31.379	eV/cell
formation enthalpy at 0 K	-135	kJ/mol of formula units

Lattice parameters (Å, degrees): 4.353 4.353 9.050 76.08 76.08 60.00
Site moments in Bohr magnetons follow the coordinates.
Fractional positions:
Al 0.500 0.500 0.500  0.00
Ga 0.875 0.875 0.376  0.00
Ga 0.398 0.398 0.805  0.01
Ga 0.602 0.602 0.195  0.01
Ga 0.125 0.125 0.624  0.00
Ce 0.000 0.000 0.000  0.65
Cu 0.759 0.759 0.722  0.00
Cu 0.241 0.241 0.278  0.00


(18)
First-principles (PBE) data for crystalline CeSi2Pd5 at its relaxed geometry, as listed in Alexandria via LeMat-Bulk.

Results
uncorrected energy	-48.742	eV/cell
raw formation energy	-0.75	eV per atom

Lattice parameters (Å, degrees): 3.943 6.335 6.335 67.91 71.87 71.87
Site moments in Bohr magnetons follow the coordinates.
Fractional positions:
Pd 0.000 0.500 0.500  0.01
Pd 0.349 0.847 0.455  0.01
Pd 0.651 0.153 0.545  0.01
Si 0.755 0.745 0.745  0.00
Ce 0.000 0.000 0.000  0.72
Si 0.245 0.255 0.255  0.00
Pd 0.651 0.545 0.153  0.01
Pd 0.349 0.455 0.847  0.01


(19)
First-principles (PBE) data for crystalline BiPtOF2 at its relaxed geometry, as listed in Alexandria via LeMat-Bulk.

Results
uncorrected energy	-21.216	eV/cell
raw formation energy	-0.52	eV per atom

Lattice parameters (Å, degrees): 4.379 4.379 4.091 90.00 90.00 90.00
Fractional positions:
F 0.000 0.500 0.000
O 0.000 0.000 0.500
F 0.500 0.000 0.000
Pt 0.000 0.000 0.000
Bi 0.500 0.500 0.500


(20)
First-principles (PBE) data for crystalline CaScTl at its relaxed geometry, as listed in Alexandria via LeMat-Bulk.

Results
uncorrected energy	-17.780	eV/cell
formation enthalpy at 0 K	175	kJ/mol of formula units

Lattice parameters (Å, degrees): 5.260 5.260 11.197 90.00 90.00 120.00
Site moments in Bohr magnetons follow the coordinates.
Fractional positions:
Ca 0.333 0.667 0.250  -0.01
Tl 0.000 0.000 0.250  0.00
Tl 0.000 0.000 0.750  0.00
Sc 0.000 0.000 0.000  0.22
Ca 0.667 0.333 0.750  -0.01
Sc 0.000 0.000 0.500  0.22


Calculated values (μB per atom) of spin magnetization for the records, taken in order: 0.000, 0.000, 0.000, 0.000, 0.500, 0.001, 0.000, 0.000, 0.000, 0.000, 0.000, 0.806, 0.000, 0.387, 0.000, 0.051, 0.097, 0.108, 0.000, 0.118.